Here is a relaxed structure of Mn3C from the Alexandria database. Energies are from PBE-GGA.

Results
**Symmetry**: No. 194
**DOS at the Fermi energy**: 1.333 states/eV per atom
**E_form**: 0.671 eV per atom
**Magnetic moment**: 3.73 μB per formula unit

Lattice parameters (Å, degrees): 4.791 4.791 7.690 90.00 90.00 120.00
Sites, in units of the cell vectors:
1 Mn 0.000 0.500 0.000
2 Mn 0.000 0.500 0.500
3 Mn 0.160 0.321 0.250
4 Mn 0.160 0.840 0.250
5 Mn 0.321 0.160 0.750
6 Mn 0.500 0.000 0.000
7 Mn 0.500 0.000 0.500
8 Mn 0.500 0.500 0.000
9 Mn 0.500 0.500 0.500
10 Mn 0.679 0.840 0.250
11 Mn 0.840 0.160 0.750
12 Mn 0.840 0.679 0.750
13 C 0.000 0.000 0.000
14 C 0.000 0.000 0.500
15 C 0.333 0.667 0.750
16 C 0.667 0.333 0.250

=====

Here is a relaxed structure of MnC2 from the Alexandria database. Energies are from PBE-GGA.

Results
**Symmetry**: No. 191
**DOS at the Fermi energy**: 0.907 states/eV per atom
**Energy above the lowest structure with this stoichiometry**: 0.150 eV/atom
**E_form**: 0.656 eV per atom
**Magnetic moment**: 3.50 μB per formula unit

Lattice parameters (Å, degrees): 2.492 2.492 7.911 90.00 90.00 120.00
Sites, in units of the cell vectors:
1 Mn 0.000 0.000 0.000
2 C 0.333 0.667 0.500
3 C 0.667 0.333 0.500

=====

Here is a relaxed structure of MnC2 from the Alexandria database. Energies are from PBE-GGA.

Results
**Symmetry**: No. 194
**DOS at the Fermi energy**: 0.359 states/eV per atom
**Energy above the lowest structure with this stoichiometry**: 0.038 eV/atom
**E_form**: 0.544 eV per atom
**Magnetic moment**: 2.72 μB per formula unit

Lattice parameters (Å, degrees): 2.565 2.565 8.214 90.00 90.00 120.00
Sites, in units of the cell vectors:
1 Mn 0.333 0.667 0.250
2 Mn 0.667 0.333 0.750
3 C 0.333 0.667 0.518
4 C 0.333 0.667 0.982
5 C 0.667 0.333 0.018
6 C 0.667 0.333 0.482

=====

Here is a relaxed structure of MnC2 from the Alexandria database. Energies are from PBE-GGA.

Results
**Symmetry**: No. 139
**DOS at the Fermi energy**: 0.408 states/eV per atom
**Energy above the lowest structure with this stoichiometry**: 0.444 eV/atom
**E_form**: 0.950 eV per atom
**Magnetic moment**: 3.31 μB per formula unit

Lattice parameters (Å, degrees): 3.348 3.348 5.298 90.00 90.00 90.00
Sites, in units of the cell vectors:
1 Mn 0.000 0.000 0.000
2 Mn 0.500 0.500 0.500
3 C 0.000 0.000 0.378
4 C 0.000 0.000 0.622
5 C 0.500 0.500 0.122
6 C 0.500 0.500 0.878

=====

Here is a relaxed structure of MnC2 from the Alexandria database. Energies are from PBE-GGA.

Results
**Symmetry**: No. 63
**DOS at the Fermi energy**: 0.501 states/eV per atom
**Energy above the lowest structure with this stoichiometry**: 0.434 eV/atom
**E_form**: 0.939 eV per atom
**Magnetic moment**: 0.90 μB per formula unit

Lattice parameters (Å, degrees): 2.787 12.505 2.583 90.00 90.00 90.00
Sites, in units of the cell vectors:
1 Mn 0.000 0.136 0.250
2 Mn 0.000 0.864 0.750
3 Mn 0.500 0.364 0.750
4 Mn 0.500 0.636 0.250
5 C 0.000 0.252 0.750
6 C 0.000 0.473 0.250
7 C 0.000 0.527 0.750
8 C 0.000 0.748 0.250
9 C 0.500 0.027 0.750
10 C 0.500 0.248 0.250
11 C 0.500 0.752 0.750
12 C 0.500 0.973 0.250

=====

Here is a relaxed structure of Mn3C4 from the Alexandria database. Energies are from PBE-GGA.

Results
**Symmetry**: No. 215
**DOS at the Fermi energy**: 0.801 states/eV per atom
**Energy above the lowest structure with this stoichiometry**: 0.353 eV/atom
**E_form**: 1.002 eV per atom
**Magnetic moment**: 1.46 μB per formula unit

Lattice parameters (Å, degrees): 4.366 4.366 4.366 90.00 90.00 90.00
Sites, in units of the cell vectors:
1 Mn 0.000 0.000 0.500
2 Mn 0.000 0.500 0.000
3 Mn 0.500 0.000 0.000
4 C 0.220 0.220 0.220
5 C 0.220 0.780 0.780
6 C 0.780 0.220 0.780
7 C 0.780 0.780 0.220

=====

Here is a relaxed structure of MnC2 from the Alexandria database. Energies are from PBE-GGA.

Results
**Symmetry**: No. 166
**DOS at the Fermi energy**: 0.576 states/eV per atom
**Energy above the lowest structure with this stoichiometry**: 0.034 eV/atom
**E_form**: 0.540 eV per atom
**Magnetic moment**: 0.00 μB per formula unit

Lattice parameters (Å, degrees): 2.631 2.631 11.874 90.00 90.00 120.00
Sites, in units of the cell vectors:
1 Mn 0.000 0.000 0.000
2 Mn 0.333 0.667 0.667
3 Mn 0.667 0.333 0.333
4 C 0.000 0.000 0.442
5 C 0.000 0.000 0.558
6 C 0.333 0.667 0.108
7 C 0.333 0.667 0.225
8 C 0.667 0.333 0.775
9 C 0.667 0.333 0.892

=====

Here is a relaxed structure of Mn3C2 from the Alexandria database. Energies are from PBE-GGA.

Results
**Symmetry**: No. 43
**DOS at the Fermi energy**: 0.734 states/eV per atom
**E_form**: 0.324 eV per atom
**Magnetic moment**: 5.40 μB per formula unit

Lattice parameters (Å, degrees): 5.214 4.953 6.218 54.22 50.42 75.36
Sites, in units of the cell vectors:
1 Mn 0.000 0.000 0.000
2 Mn 0.206 0.610 0.723
3 Mn 0.250 0.250 0.250
4 Mn 0.527 0.789 0.044
5 Mn 0.610 0.206 0.461
6 Mn 0.789 0.527 0.640
7 C 0.219 0.403 0.506
8 C 0.378 0.744 0.847
9 C 0.403 0.219 0.872
10 C 0.744 0.378 0.031

=====

Here is a relaxed structure of MnC2 from the Alexandria database. Energies are from PBE-GGA.

Results
**Symmetry**: No. 194
**DOS at the Fermi energy**: 0.224 states/eV per atom
**Energy above the lowest structure with this stoichiometry**: 1.407 eV/atom
**E_form**: 1.913 eV per atom
**Magnetic moment**: 1.68 μB per formula unit

Lattice parameters (Å, degrees): 3.852 3.852 3.789 90.00 90.00 120.00
Sites, in units of the cell vectors:
1 Mn 0.333 0.667 0.250
2 Mn 0.667 0.333 0.750
3 C 0.000 0.000 0.000
4 C 0.000 0.000 0.500
5 C 0.333 0.667 0.750
6 C 0.667 0.333 0.250

=====

Here is a relaxed structure of Mn3C4 from the Alexandria database. Energies are from PBE-GGA.

Results
**Symmetry**: No. 191
**DOS at the Fermi energy**: 0.432 states/eV per atom
**Energy above the lowest structure with this stoichiometry**: 0.000 eV/atom
**E_form**: 0.649 eV per atom
**Magnetic moment**: 6.40 μB per formula unit

Lattice parameters (Å, degrees): 5.386 5.386 2.620 90.00 90.00 120.00
Sites, in units of the cell vectors:
1 Mn 0.000 0.500 0.000
2 Mn 0.500 0.000 0.000
3 Mn 0.500 0.500 0.000
4 C 0.000 0.000 0.251
5 C 0.000 0.000 0.749
6 C 0.333 0.667 0.500
7 C 0.667 0.333 0.500

=====

Here is a relaxed structure of MnC2 from the Alexandria database. Energies are from PBE-GGA.

Results
**Symmetry**: No. 156
**DOS at the Fermi energy**: 0.629 states/eV per atom
**Energy above the lowest structure with this stoichiometry**: 0.043 eV/atom
**E_form**: 0.549 eV per atom
**Magnetic moment**: 2.01 μB per formula unit

Lattice parameters (Å, degrees): 2.534 2.534 4.321 90.00 90.00 120.00
Sites, in units of the cell vectors:
1 Mn 0.000 0.000 0.000
2 C 0.000 0.000 0.497
3 C 0.333 0.667 0.433

=====

Here is a relaxed structure of MnC from the Alexandria database. Energies are from PBE-GGA.

Results
**Symmetry**: No. 194
**DOS at the Fermi energy**: 0.518 states/eV per atom
**E_form**: 1.081 eV per atom
**Magnetic moment**: 0.30 μB per formula unit

Lattice parameters (Å, degrees): 4.306 4.306 5.279 90.00 90.00 120.00
Sites, in units of the cell vectors:
1 Mn 0.000 0.000 0.250
2 Mn 0.000 0.000 0.750
3 Mn 0.333 0.667 0.250
4 Mn 0.667 0.333 0.750
5 C 0.333 0.667 0.626
6 C 0.333 0.667 0.874
7 C 0.667 0.333 0.126
8 C 0.667 0.333 0.374

=====

Here is a relaxed structure of Mn4C3 from the Alexandria database. Energies are from PBE-GGA.

Results
**Symmetry**: No. 191
**DOS at the Fermi energy**: 0.996 states/eV per atom
**Energy above the lowest structure with this stoichiometry**: 1.233 eV/atom
**E_form**: 1.476 eV per atom
**Magnetic moment**: 4.41 μB per formula unit

Lattice parameters (Å, degrees): 4.165 4.165 4.083 90.00 90.00 120.00
Sites, in units of the cell vectors:
1 Mn 0.000 0.000 0.240
2 Mn 0.000 0.000 0.760
3 Mn 0.333 0.667 0.500
4 Mn 0.667 0.333 0.500
5 C 0.000 0.500 0.000
6 C 0.500 0.000 0.000
7 C 0.500 0.500 0.000